Entry 1:
VASP calculation (PBE) on LiAuC14S4 after structural relaxation.

Calculated volume   246.9 Å³ per cell
VASP energy   -0.504 Ry/atom

```
data_LiAuC14S4
_symmetry_space_group_name_H-M 'P 1'
_symmetry_Int_Tables_number 1
_symmetry_space_group_name_Hall 'P 1'
_cell_length_a 5.634
_cell_length_b 6.504
_cell_length_c 7.538
_cell_angle_alpha 111.58
_cell_angle_beta 91.53
_cell_angle_gamma 104.18
loop_
_atom_site_label
_atom_site_type_symbol
_atom_site_fract_x
_atom_site_fract_y
_atom_site_fract_z
Li1 Li 0.000 0.000 0.000
Au1 Au 0.000 0.500 0.500
C1 C 0.083 0.555 0.950
C2 C 0.117 0.437 0.739
C3 C 0.243 0.965 0.226
C4 C 0.246 0.783 0.037
C5 C 0.376 0.975 0.387
C6 C 0.445 0.879 0.954
C7 C 0.449 0.145 0.583
C8 C 0.551 0.855 0.417
C9 C 0.555 0.121 0.046
C10 C 0.624 0.025 0.613
C11 C 0.754 0.217 0.963
C12 C 0.757 0.035 0.774
C13 C 0.883 0.563 0.261
C14 C 0.917 0.445 0.050
S1 S 0.325 0.303 0.768
S2 S 0.377 0.247 0.221
S3 S 0.623 0.753 0.779
S4 S 0.675 0.697 0.232
```

***

Entry 2:
VASP calculation (PBE) on BiMoAs after structural relaxation.

Total moment   1.77 μB per formula unit
Calculated volume   70.9 Å³ per cell
VASP energy   -0.439 Ry/atom

```
data_BiMoAs
_symmetry_space_group_name_H-M 'P 1'
_symmetry_Int_Tables_number 1
_symmetry_space_group_name_Hall 'P 1'
_cell_length_a 4.647
_cell_length_b 4.647
_cell_length_c 4.647
_cell_angle_alpha 60.00
_cell_angle_beta 60.00
_cell_angle_gamma 60.00
loop_
_atom_site_label
_atom_site_type_symbol
_atom_site_fract_x
_atom_site_fract_y
_atom_site_fract_z
Bi1 Bi 0.000 0.000 0.000
Mo1 Mo 0.750 0.750 0.750
As1 As 0.500 0.500 0.500
```

***

Entry 3:
VASP calculation (PBE) on LaPtO3 after structural relaxation.

Total moment   0.98 μB per formula unit
Calculated volume   143.9 Å³ per cell
VASP energy   -0.500 Ry/atom

```
data_LaPtO3
_symmetry_space_group_name_H-M 'P 1'
_symmetry_Int_Tables_number 1
_symmetry_space_group_name_Hall 'P 1'
_cell_length_a 5.895
_cell_length_b 5.895
_cell_length_c 5.895
_cell_angle_alpha 59.72
_cell_angle_beta 59.72
_cell_angle_gamma 59.72
loop_
_atom_site_label
_atom_site_type_symbol
_atom_site_fract_x
_atom_site_fract_y
_atom_site_fract_z
La1 La 0.129 0.129 0.129
La2 La 0.871 0.871 0.871
Pt1 Pt 0.343 0.343 0.343
Pt2 Pt 0.657 0.657 0.657
O1 O 0.053 0.715 0.457
O2 O 0.285 0.543 0.947
O3 O 0.457 0.053 0.715
O4 O 0.543 0.947 0.285
O5 O 0.715 0.457 0.053
O6 O 0.947 0.285 0.543
```

***

Entry 4:
VASP calculation (PBE) on Pm2Ge2Ir after structural relaxation.

Total moment   0.00 μB per formula unit
Calculated volume   223.0 Å³ per cell
VASP energy   -0.470 Ry/atom

```
data_Pm2Ge2Ir
_symmetry_space_group_name_H-M 'P 1'
_symmetry_Int_Tables_number 1
_symmetry_space_group_name_Hall 'P 1'
_cell_length_a 5.854
_cell_length_b 5.854
_cell_length_c 10.573
_cell_angle_alpha 115.09
_cell_angle_beta 115.09
_cell_angle_gamma 43.77
loop_
_atom_site_label
_atom_site_type_symbol
_atom_site_fract_x
_atom_site_fract_y
_atom_site_fract_z
Pm1 Pm 0.008 0.008 0.331
Pm2 Pm 0.191 0.191 0.118
Pm3 Pm 0.809 0.809 0.882
Pm4 Pm 0.992 0.992 0.669
Ge1 Ge 0.346 0.346 0.447
Ge2 Ge 0.485 0.485 0.117
Ge3 Ge 0.515 0.515 0.883
Ge4 Ge 0.654 0.654 0.553
Ir1 Ir 0.272 0.272 0.664
Ir2 Ir 0.728 0.728 0.336
```

***

Entry 5:
VASP calculation (PBE) on Ho3Ni2PdPb3 after structural relaxation.

Total moment   0.00 μB per formula unit
Calculated volume   194.7 Å³ per cell
VASP energy   -0.373 Ry/atom

```
data_Ho3Ni2PdPb3
_symmetry_space_group_name_H-M 'P 1'
_symmetry_Int_Tables_number 1
_symmetry_space_group_name_Hall 'P 1'
_cell_length_a 7.509
_cell_length_b 7.509
_cell_length_c 3.987
_cell_angle_alpha 90.00
_cell_angle_beta 90.00
_cell_angle_gamma 120.00
loop_
_atom_site_label
_atom_site_type_symbol
_atom_site_fract_x
_atom_site_fract_y
_atom_site_fract_z
Ho1 Ho 0.000 0.594 0.000
Ho2 Ho 0.406 0.406 0.000
Ho3 Ho 0.594 0.000 0.000
Ni1 Ni 0.333 0.667 0.500
Ni2 Ni 0.667 0.333 0.500
Pd1 Pd 0.000 0.000 0.000
Pb1 Pb 0.000 0.272 0.500
Pb2 Pb 0.272 0.000 0.500
Pb3 Pb 0.728 0.728 0.500
```

***

Entry 6:
VASP calculation (PBE) on Y3In3PtAu2 after structural relaxation.

Total moment   0.03 μB per formula unit
Calculated volume   205.4 Å³ per cell
VASP energy   -0.391 Ry/atom

```
data_Y3In3PtAu2
_symmetry_space_group_name_H-M 'P 1'
_symmetry_Int_Tables_number 1
_symmetry_space_group_name_Hall 'P 1'
_cell_length_a 7.740
_cell_length_b 7.740
_cell_length_c 3.958
_cell_angle_alpha 90.00
_cell_angle_beta 90.00
_cell_angle_gamma 120.00
loop_
_atom_site_label
_atom_site_type_symbol
_atom_site_fract_x
_atom_site_fract_y
_atom_site_fract_z
Y1 Y 0.000 0.400 0.000
Y2 Y 0.400 0.000 0.000
Y3 Y 0.600 0.600 0.000
In1 In 0.000 0.743 0.500
In2 In 0.257 0.257 0.500
In3 In 0.743 0.000 0.500
Pt1 Pt 0.000 0.000 0.000
Au1 Au 0.333 0.667 0.500
Au2 Au 0.667 0.333 0.500
```

***

Entry 7:
VASP calculation (PBE) on La2Pr2CI5 after structural relaxation.

Total moment   0.32 μB per formula unit
Calculated volume   354.2 Å³ per cell
VASP energy   -0.352 Ry/atom

```
data_La2Pr2CI5
_symmetry_space_group_name_H-M 'P 1'
_symmetry_Int_Tables_number 1
_symmetry_space_group_name_Hall 'P 1'
_cell_length_a 9.982
_cell_length_b 9.982
_cell_length_c 8.960
_cell_angle_alpha 102.77
_cell_angle_beta 102.77
_cell_angle_gamma 24.03
loop_
_atom_site_label
_atom_site_type_symbol
_atom_site_fract_x
_atom_site_fract_y
_atom_site_fract_z
La1 La 0.136 0.136 0.069
La2 La 0.864 0.864 0.931
Pr1 Pr 0.499 0.499 0.194
Pr2 Pr 0.501 0.501 0.806
C1 C 0.000 0.000 0.000
I1 I 0.000 0.000 0.500
I2 I 0.330 0.330 0.185
I3 I 0.336 0.336 0.650
I4 I 0.664 0.664 0.350
I5 I 0.670 0.670 0.815
```

***

Entry 8:
VASP calculation (PBE) on CdTcBi2 after structural relaxation.

Total moment   2.05 μB per formula unit
Calculated volume   94.2 Å³ per cell
VASP energy   -0.299 Ry/atom

```
data_CdTcBi2
_symmetry_space_group_name_H-M 'P 1'
_symmetry_Int_Tables_number 1
_symmetry_space_group_name_Hall 'P 1'
_cell_length_a 5.106
_cell_length_b 5.106
_cell_length_c 5.106
_cell_angle_alpha 60.00
_cell_angle_beta 60.00
_cell_angle_gamma 60.00
loop_
_atom_site_label
_atom_site_type_symbol
_atom_site_fract_x
_atom_site_fract_y
_atom_site_fract_z
Cd1 Cd 0.000 0.000 0.000
Tc1 Tc 0.750 0.750 0.750
Bi1 Bi 0.250 0.250 0.250
Bi2 Bi 0.500 0.500 0.500
```

***

Entry 9:
VASP calculation (PBE) on InAgPbSe2S after structural relaxation.

Calculated volume   295.1 Å³ per cell
VASP energy   -0.268 Ry/atom

```
data_InAgPbSe2S
_symmetry_space_group_name_H-M 'P 1'
_symmetry_Int_Tables_number 1
_symmetry_space_group_name_Hall 'P 1'
_cell_length_a 7.001
_cell_length_b 7.001
_cell_length_c 11.356
_cell_angle_alpha 90.00
_cell_angle_beta 90.00
_cell_angle_gamma 147.99
loop_
_atom_site_label
_atom_site_type_symbol
_atom_site_fract_x
_atom_site_fract_y
_atom_site_fract_z
In1 In 0.240 0.760 0.750
In2 In 0.760 0.240 0.250
Ag1 Ag 0.482 0.518 0.250
Ag2 Ag 0.518 0.482 0.750
Pb1 Pb 0.000 0.000 0.000
Pb2 Pb 0.000 0.000 0.500
Se1 Se 0.339 0.661 0.084
Se2 Se 0.339 0.661 0.416
Se3 Se 0.661 0.339 0.584
Se4 Se 0.661 0.339 0.916
S1 S 0.113 0.887 0.250
S2 S 0.887 0.113 0.750
```

***

Entry 10:
VASP calculation (PBE) on MgHgTeO after structural relaxation.

Calculated volume   163.2 Å³ per cell
VASP energy   -0.233 Ry/atom

```
data_MgHgTeO
_symmetry_space_group_name_H-M 'P 1'
_symmetry_Int_Tables_number 1
_symmetry_space_group_name_Hall 'P 1'
_cell_length_a 7.269
_cell_length_b 7.269
_cell_length_c 5.958
_cell_angle_alpha 90.00
_cell_angle_beta 90.00
_cell_angle_gamma 148.77
loop_
_atom_site_label
_atom_site_type_symbol
_atom_site_fract_x
_atom_site_fract_y
_atom_site_fract_z
Mg1 Mg 0.086 0.914 0.750
Mg2 Mg 0.914 0.086 0.250
Hg1 Hg 0.417 0.583 0.750
Hg2 Hg 0.583 0.417 0.250
Te1 Te 0.257 0.743 0.250
Te2 Te 0.743 0.257 0.750
O1 O 0.000 0.000 0.000
O2 O 0.000 0.000 0.500
```